1.
Material: Li3La5H12
Method: DFT, GGA-PBE
State: optimized geometry

Crystal system ... cubic
Final energy ... -631.26 eV/cell

```
data_Li3La5H12
_symmetry_space_group_name_H-M 'I a -3 d'
_symmetry_Int_Tables_number 230
_symmetry_space_group_name_Hall '-I 4bd 2c 3'
_cell_length_a 13.2816
_cell_length_b 13.2816
_cell_length_c 13.2816
_cell_angle_alpha 90.00
_cell_angle_beta 90.00
_cell_angle_gamma 90.00
loop_
_atom_site_label
_atom_site_type_symbol
_atom_site_fract_x
_atom_site_fract_y
_atom_site_fract_z
_atom_site_occupancy
Li1 Li 0.0000 0.2500 0.1250 1
La1 La 0.0000 0.0000 0.0000 1
La2 La 0.0000 0.2500 0.3750 1
H1 H 0.0173 0.0674 0.3353 1
```

---

2.
Material: AcB2O4
Method: DFT, GGA-PBE
State: optimized geometry

Excess energy over the best structure of this formula in the dataset ... 0 meV/atom
Formation energy without anion corrections ... -2262 meV per atom
Crystal system ... monoclinic
Final energy ... -106.27 eV/cell

```
data_AcB2O4
_symmetry_space_group_name_H-M 'C 1 2/m 1'
_symmetry_Int_Tables_number 12
_symmetry_space_group_name_Hall '-C 2y'
_cell_length_a 6.9276
_cell_length_b 6.3770
_cell_length_c 5.7966
_cell_angle_alpha 90.00
_cell_angle_beta 92.69
_cell_angle_gamma 90.00
loop_
_atom_site_label
_atom_site_type_symbol
_atom_site_fract_x
_atom_site_fract_y
_atom_site_fract_z
_atom_site_occupancy
Ac1 Ac 0.0000 0.0000 0.0000 1
B1 B 0.0790 0.5000 0.8493 1
O1 O 0.1339 0.3081 0.7969 1
```